# AgPOs2 (PBE, optimized geometry)
# **Crystal system**: orthorhombic
# **ΔH_f (0 K)**: 0.50 eV per atom
data_AgPOs2
_space_group_name_H-M_alt 'C m m m'
_space_group_IT_number 65
_space_group_name_Hall '-C 2 2'
_cell_length_a 2.866
_cell_length_b 4.921
_cell_length_c 8.627
_cell_angle_alpha 90.00
_cell_angle_beta 90.00
_cell_angle_gamma 90.00
loop_
_atom_site_label
_atom_site_fract_x
_atom_site_fract_y
_atom_site_fract_z
Ag1 0.000 0.000 0.000
P1 0.000 0.000 0.500
Os1 0.000 0.500 0.293

# PRu2Br (PBE, optimized geometry)
# **Crystal system**: tetragonal
# **Excess energy over the best structure of this formula in the dataset**: 403 meV/atom
data_PRu2Br
_space_group_name_H-M_alt 'P 4 m m'
_space_group_IT_number 99
_cell_length_a 2.949
_cell_length_b 2.949
_cell_length_c 7.827
_cell_angle_alpha 90.00
_cell_angle_beta 90.00
_cell_angle_gamma 90.00
loop_
_space_group_symop_operation_xyz
'x,y,z'
'-y,x,z'
'-x,-y,z'
'y,-x,z'
'-x,y,z'
'y,x,z'
'x,-y,z'
'-y,-x,z'
loop_
_atom_site_label
_atom_site_fract_x
_atom_site_fract_y
_atom_site_fract_z
P1 0.000 0.000 0.000
Ru1 0.000 0.000 0.406
Ru2 0.500 0.500 0.162
Br1 0.500 0.500 0.613

# Co2IrPb (PBE, optimized geometry)
# **Crystal system**: monoclinic
# **ΔH_f (0 K)**: 0.48 eV per atom
data_Co2IrPb
_space_group_name_H-M_alt 'C 1 2/m 1'
_space_group_IT_number 12
_cell_length_a 8.513
_cell_length_b 2.969
_cell_length_c 5.117
_cell_angle_alpha 90.00
_cell_angle_beta 101.65
_cell_angle_gamma 90.00
loop_
_space_group_symop_operation_xyz
'x,y,z'
'-x,-y,-z'
'-x,y,-z'
'x,-y,z'
'x+1/2,y+1/2,z'
'-x+1/2,-y+1/2,-z'
'-x+1/2,y+1/2,-z'
'x+1/2,-y+1/2,z'
loop_
_atom_site_label
_atom_site_fract_x
_atom_site_fract_y
_atom_site_fract_z
Co1 0.240 0.000 0.186
Ir1 0.000 0.500 0.000
Pb1 0.000 0.000 0.500

# AlFeP2Cl (PBE, optimized geometry)
# **Crystal system**: tetragonal
# **Excess energy over the best structure of this formula in the dataset**: 0 meV/atom
data_AlFeP2Cl
_space_group_name_H-M_alt 'P 4/m m m'
_space_group_IT_number 123
_space_group_name_Hall '-P 4 2'
_cell_length_a 4.279
_cell_length_b 4.279
_cell_length_c 5.177
_cell_angle_alpha 90.00
_cell_angle_beta 90.00
_cell_angle_gamma 90.00
loop_
_atom_site_label
_atom_site_fract_x
_atom_site_fract_y
_atom_site_fract_z
Al1 0.000 0.000 0.000
Fe1 0.500 0.500 0.500
P1 0.000 0.500 0.500
Cl1 0.500 0.500 0.000